## PaCdCu2 (PBE-GGA)

Data for an optimized crystal structure of PaCdCu2.

SG	Fm-3m
formation energy	0.03	eV per atom
offset from the most stable computed form	0	meV/atom
M_tot	0.0	μB per formula unit

Cell: 4.7140 4.7140 4.7140 Å, 60.00 60.00 60.00°
Atoms (fractional coordinates):
1 Cu 0.2500 0.2500 0.2500
2 Cu 0.7500 0.7500 0.7500
3 Pa 0.5000 0.5000 0.5000
4 Cd 0.0000 0.0000 0.0000

=====

## PaCd2Cu9 (PBE-GGA)

Data for an optimized crystal structure of PaCd2Cu9.

SG	R-3m
formation energy	-0.04	eV per atom
M_tot	0.0	μB per formula unit

Cell: 5.0460 5.0460 8.5600 Å, 72.86 72.86 60.00°
Atoms (fractional coordinates):
1 Cu 0.4156 0.9183 0.2504
2 Cu 0.6668 0.6668 0.9997
3 Cu 0.5844 0.5844 0.7496
4 Cu 0.4156 0.4156 0.2504
5 Cu 0.5000 0.5000 0.5000
6 Cu 0.3332 0.3332 0.0003
7 Cu 0.5844 0.0817 0.7496
8 Cu 0.9183 0.4156 0.2504
9 Cu 0.0817 0.5844 0.7496
10 Cd 0.8566 0.8566 0.4302
11 Cd 0.1434 0.1434 0.5698
12 Pa 0.0000 0.0000 0.0000

=====

## PaCd4Cu2 (PBE-GGA)

Data for an optimized crystal structure of PaCd4Cu2.

SG	Cmmm
formation energy	0.06	eV per atom
M_tot	0.2	μB per formula unit

Cell: 3.2389 4.7101 9.4172 Å, 104.48 90.00 90.00°
Last column: magnetic moment on the atom in μB.
Atoms (fractional coordinates):
1 Cd 0.0000 0.6937 0.3873  0.00
2 Cd 0.0000 0.3063 0.6127  0.00
3 Cd 0.5000 0.8456 0.6912  0.00
4 Cd 0.5000 0.1544 0.3088  0.00
5 Pa 0.0000 0.0000 0.0000  0.14
6 Cu 0.5000 0.4328 0.8656  0.00
7 Cu 0.5000 0.5672 0.1344  0.00